Here is a geometry-optimized BTePd2W structure from Alexandria via LeMat-Bulk. Energies are from PBE.

Cell lengths 4.119, 4.119, 4.968 Å; angles 90.00, 90.00, 90.00 degrees
Space group P4/mmm (No. 123)
Unique sites:
B1 0.000 0.000 0.000
Te1 0.000 0.000 0.500
Pd1 0.000 0.500 0.000
W1 0.500 0.500 0.500

Calculated values
The calculation puts the formation energy (no corrections) at 0.83 eV/atom. Its crystal system is tetragonal.



Here is a geometry-optimized ThBPd structure from Alexandria via LeMat-Bulk. Energies are from PBE.

Cell lengths 9.233, 3.865, 6.661 Å; angles 90.00, 102.83, 90.00 degrees
Space group C2/m (No. 12)
Unique sites:
Th1 0.109 0.000 0.288
B1 0.083 0.500 0.573
Pd1 0.135 0.500 0.921

Calculated values
Its crystal system is monoclinic. Its energy of formation is -41.36 kJ/mol of atoms.



Here is a geometry-optimized TiBPd2 structure from Alexandria via LeMat-Bulk. Energies are from PBE.

Cell lengths 5.016, 5.016, 11.064 Å; angles 90.00, 90.00, 90.00 degrees
Space group I-42d (No. 122)
Unique sites:
Ti1 0.000 0.000 0.000
B1 0.000 0.000 0.500
Pd1 0.166 0.250 0.625

Calculated values
Its crystal system is tetragonal. Its energy of formation is 21.23 kJ/mol of atoms.



| no. | total DFT energy (no corrections) (eV/cell) |
| --- | --- |
| 1 | -29.0 |
| 2 | -82.3 |
| 3 | -96.3 |